Here is an optimized crystal structure of CrPdC2 from Alexandria via LeMat-Bulk. Energies are from PBE-GGA.

Calculated values
Its total energy is -6.94 eV per atom. The volume is 9.3 A^3/atom. The energy of formation comes out at 1381 meV per atom. Its space group is Fm-3m.

a b c (Å): 3.7454 3.7454 3.7454
angles (deg): 60.00 60.00 60.00
With the nearest neighbours (Å) after each atom.
Fractional coordinates of all 4 atoms:
C 0.2500 0.2500 0.2500  4 Cr 2.29, 4 Pd 2.29
C 0.7500 0.7500 0.7500  4 Cr 2.29, 4 Pd 2.29
Cr 0.0000 0.0000 0.0000  8 C 2.29
Pd 0.5000 0.5000 0.5000  8 C 2.29

Here is an optimized crystal structure of CrPdC2 from Alexandria via LeMat-Bulk. Energies are from PBE-GGA.

Calculated values
Its total energy is -7.57 eV per atom. The volume is 11.7 A^3/atom. The energy of formation comes out at 747 meV per atom. Its space group is I-42d.

a b c (Å): 4.5704 4.5704 5.5386
angles (deg): 65.63 65.63 90.00
With the nearest neighbours (Å) after each atom.
Fractional coordinates of all 8 atoms:
Pd 0.0000 0.0000 0.0000  4 C 2.08
Pd 0.7500 0.2500 0.5000  4 C 2.08
Cr 0.5000 0.5000 0.0000  4 C 1.87
Cr 0.2500 0.7500 0.5000  4 C 1.87
C 0.5854 0.1250 0.2500  2 Cr 1.87, 2 Pd 2.08
C 0.1646 0.6250 0.2500  2 Cr 1.87, 2 Pd 2.08
C 0.3750 0.4146 0.7500  2 Cr 1.87, 2 Pd 2.08
C 0.8750 0.8354 0.7500  2 Cr 1.87, 2 Pd 2.08

Here is an optimized crystal structure of Cr3PdC from Alexandria via LeMat-Bulk. Energies are from PBE-GGA.

Calculated values
Its total energy is -6.25 eV per atom. The volume is 22.5 A^3/atom. The energy of formation comes out at 2412 meV per atom. Its space group is Pm-3m.

a b c (Å): 4.8277 4.8277 4.8277
angles (deg): 90.00 90.00 90.00
With the nearest neighbours (Å) after each atom.
Fractional coordinates of all 5 atoms:
Cr 0.5000 0.0000 0.0000  2 Pd 2.41
Cr 0.0000 0.0000 0.5000  2 Pd 2.41
Cr 0.0000 0.5000 0.0000  2 Pd 2.41
C 0.5000 0.5000 0.5000  12 Cr 3.41
Pd 0.0000 0.0000 0.0000  6 Cr 2.41

Here is an optimized crystal structure of Cr3PdC from Alexandria via LeMat-Bulk. Energies are from PBE-GGA.

Calculated values
Its total energy is -8.58 eV per atom. The volume is 11.5 A^3/atom. The energy of formation comes out at 77 meV per atom. Its space group is Pm-3m.

a b c (Å): 3.8623 3.8623 3.8623
angles (deg): 90.00 90.00 90.00
With the nearest neighbours (Å) after each atom.
Fractional coordinates of all 5 atoms:
Pd 0.5000 0.5000 0.5000  12 Cr 2.73
Cr 0.0000 0.5000 0.0000  2 C 1.93
Cr 0.0000 0.0000 0.5000  2 C 1.93
Cr 0.5000 0.0000 0.0000  2 C 1.93
C 0.0000 0.0000 0.0000  6 Cr 1.93

Here is an optimized crystal structure of Ti2CrPdC from Alexandria via LeMat-Bulk. Energies are from PBE-GGA.

Calculated values
Its total energy is -8.39 eV per atom. The volume is 13.5 A^3/atom. The energy of formation comes out at -420 meV per atom. Its space group is P4/mmm.

a b c (Å): 4.1913 4.1913 3.8348
angles (deg): 90.00 90.00 90.00
With the nearest neighbours (Å) after each atom.
Fractional coordinates of all 5 atoms:
Ti 0.5000 0.0000 0.0000  2 C 2.10
Ti 0.0000 0.5000 0.0000  2 C 2.10
Cr 0.0000 0.0000 0.5000  2 C 1.92
Pd 0.5000 0.5000 0.5000  8 Ti 2.84, 4 Cr 2.96
C 0.0000 0.0000 0.0000  2 Cr 1.92, 4 Ti 2.10

Here is an optimized crystal structure of Y2CrPdC from Alexandria via LeMat-Bulk. Energies are from PBE-GGA.

Calculated values
Its total energy is -7.77 eV per atom. The volume is 18.9 A^3/atom. The energy of formation comes out at -380 meV per atom. Its space group is P4/mmm.

a b c (Å): 4.9701 4.9701 3.8323
angles (deg): 90.00 90.00 90.00
With the nearest neighbours (Å) after each atom.
Fractional coordinates of all 5 atoms:
Cr 0.0000 0.0000 0.5000  2 C 1.92
Y 0.5000 0.0000 0.0000  2 C 2.49
Y 0.0000 0.5000 0.0000  2 C 2.49
C 0.0000 0.0000 0.0000  2 Cr 1.92
Pd 0.5000 0.5000 0.5000  8 Y 3.14, 4 Cr 3.51

Question: Which of these has the lowest energy of formation?
Answer: Ti2CrPdC

What did the third record say?
Here is an optimized crystal structure of Cr3PdC from Alexandria via LeMat-Bulk. Energies are from PBE-GGA.

Calculated values
Its total energy is -6.25 eV per atom. The volume is 22.5 A^3/atom. The energy of formation comes out at 2412 meV per atom. Its space group is Pm-3m.

a b c (Å): 4.8277 4.8277 4.8277
angles (deg): 90.00 90.00 90.00
With the nearest neighbours (Å) after each atom.
Fractional coordinates of all 5 atoms:
Cr 0.5000 0.0000 0.0000  2 Pd 2.41
Cr 0.0000 0.0000 0.5000  2 Pd 2.41
Cr 0.0000 0.5000 0.0000  2 Pd 2.41
C 0.5000 0.5000 0.5000  12 Cr 3.41
Pd 0.0000 0.0000 0.0000  6 Cr 2.41